Entry 1:
Below is crystalline InTeHC2 at its relaxed geometry, with properties calculated at the PBE level.

Lattice parameters (Å, degrees): 4.5579 4.5579 3.6414 90.00 90.00 90.00
Last column: nearest neighbours and their distance in Å.
Space group P4/mmm (No. 123)
One atom of each set of equivalent atoms:
In1 0.0000 0.0000 0.0000 [1 per cell]  2 H 1.82
Te1 0.5000 0.5000 0.5000 [1 per cell]  8 C 2.92, 4 H 3.22
H1 0.0000 0.0000 0.5000 [1 per cell]  2 In 1.82
C1 0.0000 0.5000 0.0000 [2 per cell]  2 In 2.28

## Properties
N(E_F): 2.6 states/eV/cell
total magnetization: 0.029 μB per atom
uncorrected energy: -18.1 eV/cell

=====

Entry 2:
Below is crystalline K2MgH8C2O10 at its relaxed geometry, with properties calculated at the PBE level.

Lattice parameters (Å, degrees): 6.9864 6.3274 12.3277 90.00 114.73 90.00
Last column: nearest neighbours and their distance in Å.
Space group P2_1/c (No. 14)
One atom of each set of equivalent atoms:
K1 0.2325 0.1570 0.3171 [4 per cell]  6 O 2.73-3.03, 1 H 2.94
Mg1 0.0000 0.0000 0.0000 [2 per cell]  6 O 2.08-2.14
H1 0.2019 0.6621 0.3683 [4 per cell]  1 O 1.01
H2 0.2129 0.7018 0.9853 [4 per cell]  1 O 1.02
H3 0.2998 0.1705 0.5823 [4 per cell]  1 O 1.01
H4 0.4266 0.1149 0.1132 [4 per cell]  1 O 1.00
C1 0.2584 0.6564 0.1829 [4 per cell]  3 O 1.30-1.31
O1 0.1161 0.7157 0.4116 [4 per cell]  2 H 1.01-1.02
O2 0.1242 0.6893 0.6520 [4 per cell]  1 C 1.30
O3 0.2876 0.1760 0.0588 [4 per cell]  2 H 1.00-1.01
O4 0.3174 0.5693 0.2875 [4 per cell]  1 C 1.30
O5 0.3351 0.5859 0.1094 [4 per cell]  1 C 1.31

## Properties
N(E_F): 0.0 states/eV/cell
total magnetization: 0.000 μB per atom
uncorrected energy: -265.3 eV/cell

=====

Entry 3:
Below is crystalline KMgH9C2O10 at its relaxed geometry, with properties calculated at the PBE level.

Lattice parameters (Å, degrees): 5.3378 6.7201 7.1566 113.66 91.37 107.21
Last column: nearest neighbours and their distance in Å.
Space group P-1 (No. 2)
One atom of each set of equivalent atoms:
K1 0.0000 0.0000 0.0000 [1 per cell]  6 O 2.86-2.99, 4 H 2.95-2.98
Mg1 0.5000 0.5000 0.5000 [1 per cell]  6 O 2.09-2.10
H1 0.9999 0.3278 0.5772 [2 per cell]  1 O 0.99
H2 0.0000 0.5000 0.0000 [1 per cell]  2 O 1.22
H3 0.2045 0.2030 0.6026 [2 per cell]  1 O 1.01
H4 0.3654 0.7345 0.8666 [2 per cell]  1 O 1.00
H5 0.4297 0.9082 0.7559 [2 per cell]  1 O 1.00
C1 0.3677 0.6993 0.2040 [2 per cell]  3 O 1.28-1.33
O1 0.1434 0.2716 0.5159 [2 per cell]  2 H 0.99-1.01
O2 0.1984 0.6684 0.0468 [2 per cell]  1 H 1.22, 1 C 1.33
O3 0.2865 0.5814 0.3078 [2 per cell]  1 C 1.29
O4 0.3983 0.1531 0.7567 [2 per cell]  1 C 1.28
O5 0.4667 0.7738 0.7637 [2 per cell]  2 H 1.00

## Properties
N(E_F): 0.0 states/eV/cell
total magnetization: 0.000 μB per atom
uncorrected energy: -133.0 eV/cell

=====

Entry 4:
Below is crystalline KHC3N6 at its relaxed geometry, with properties calculated at the PBE level.

Lattice parameters (Å, degrees): 4.1099 9.6048 9.7878 109.98 91.83 90.33
Last column: nearest neighbours and their distance in Å.
Space group P-1 (No. 2)
One atom of each set of equivalent atoms:
K1 0.2504 0.0888 0.3435 [2 per cell]  6 N 2.84-3.05
H1 0.2337 0.5941 0.1218 [2 per cell]  1 N 1.04
C1 0.2294 0.7120 0.3306 [2 per cell]  2 N 1.20-1.27
C2 0.3201 0.6822 0.8450 [2 per cell]  3 N 1.33-1.40
C3 0.3385 0.1485 0.9788 [2 per cell]  2 N 1.19-1.30
N1 0.1706 0.6577 0.7148 [2 per cell]  1 C 1.34
N2 0.2231 0.5895 0.2261 [2 per cell]  1 H 1.04
N3 0.2292 0.0831 0.8600 [2 per cell]  1 C 1.19
N4 0.2355 0.8218 0.4373 [2 per cell]  1 C 1.20
N5 0.2455 0.6079 0.9321 [2 per cell]  1 C 1.33
N6 0.4416 0.2051 0.1131 [2 per cell]  2 C 1.30-1.40

## Properties
N(E_F): 4.5 states/eV/cell
total magnetization: 0.364 μB per atom
uncorrected energy: -151.7 eV/cell

=====

The lowest uncorrected energy belongs to which entry?
K2MgH8C2O10

=====

Number 2 is which compound?
K2MgH8C2O10

=====

What is the formula in the fourth record?
KHC3N6